Below is a relaxed BeNb2W crystal, with properties calculated at the GGA-PBE level.

a = 3.142 Å, b = 3.142 Å, c = 7.726 Å
α = 78.27°, β = 78.27°, γ = 60.00°
Positions (direct):
1 Be 0.000 0.000 0.000
2 Nb 0.258 0.258 0.226
3 Nb 0.742 0.742 0.774
4 W 0.500 0.500 0.500

Results
V ... 16.05 A^3/atom
ΔH_f (0 K) ... 0.31 eV per atom
ρ ... 9.8 g/cm³

Below is a relaxed BeNb2W crystal, with properties calculated at the GGA-PBE level.

a = 7.189 Å, b = 7.189 Å, c = 5.669 Å
α = 50.65°, β = 50.65°, γ = 90.00°
Positions (direct):
1 Be 0.500 0.500 0.000
2 Be 0.250 0.750 0.500
3 Nb 0.587 0.125 0.250
4 Nb 0.163 0.625 0.250
5 Nb 0.375 0.413 0.750
6 Nb 0.875 0.837 0.750
7 W 0.000 0.000 0.000
8 W 0.750 0.250 0.500

Results
V ... 16.21 A^3/atom
ΔH_f (0 K) ... 0.62 eV per atom
ρ ... 9.7 g/cm³

Below is a relaxed BeNb2W crystal, with properties calculated at the GGA-PBE level.

a = 3.248 Å, b = 3.248 Å, c = 5.927 Å
α = 90.00°, β = 90.00°, γ = 90.00°
Positions (direct):
1 Be 0.500 0.500 0.000
2 Nb 0.000 0.000 0.763
3 Nb 0.000 0.000 0.237
4 W 0.500 0.500 0.500

Results
V ... 15.63 A^3/atom
ΔH_f (0 K) ... -0.01 eV per atom
ρ ... 10.1 g/cm³

Below is a relaxed Be2NbW2 crystal, with properties calculated at the GGA-PBE level.

a = 3.637 Å, b = 3.637 Å, c = 5.869 Å
α = 71.95°, β = 71.95°, γ = 90.00°
Positions (direct):
1 Be 0.408 0.408 0.184
2 Be 0.592 0.592 0.816
3 Nb 0.000 0.000 0.000
4 W 0.750 0.250 0.500
5 W 0.250 0.750 0.500

Results
V ... 13.96 A^3/atom
ΔH_f (0 K) ... 0.06 eV per atom
Energy relative to the lowest polymorph listed for this composition ... 232.6 meV/atom
ρ ... 11.4 g/cm³

Below is a relaxed ZrBe2NbW crystal, with properties calculated at the GGA-PBE level.

a = 4.368 Å, b = 4.834 Å, c = 4.368 Å
α = 90.00°, β = 90.00°, γ = 90.00°
Positions (direct):
1 Be 0.000 0.000 0.500
2 Be 0.500 0.000 0.000
3 Nb 0.500 0.500 0.500
4 Zr 0.000 0.000 0.000
5 W 0.000 0.500 0.000

Results
V ... 18.45 A^3/atom
ΔH_f (0 K) ... 1.84 eV per atom
ρ ... 6.9 g/cm³

Below is a relaxed YBeNb2 crystal, with properties calculated at the GGA-PBE level.

a = 3.957 Å, b = 3.957 Å, c = 10.456 Å
α = 79.09°, β = 79.09°, γ = 90.00°
Positions (direct):
1 Y 0.000 0.000 0.000
2 Y 0.750 0.250 0.500
3 Be 0.500 0.500 0.000
4 Be 0.250 0.750 0.500
5 Nb 0.139 0.125 0.250
6 Nb 0.611 0.625 0.250
7 Nb 0.375 0.861 0.750
8 Nb 0.875 0.389 0.750

Results
V ... 19.72 A^3/atom
ΔH_f (0 K) ... 0.60 eV per atom
ρ ... 6.0 g/cm³

- The lowest ρ belongs to which entry?
  YBeNb2

- Among the records above, which one has the highest ΔH_f (0 K)?
  ZrBe2NbW

- Which of these has the highest ΔH_f (0 K)?
  ZrBe2NbW

Please write out number 3 again, unchanged.
Below is a relaxed BeNb2W crystal, with properties calculated at the GGA-PBE level.

a = 3.248 Å, b = 3.248 Å, c = 5.927 Å
α = 90.00°, β = 90.00°, γ = 90.00°
Positions (direct):
1 Be 0.500 0.500 0.000
2 Nb 0.000 0.000 0.763
3 Nb 0.000 0.000 0.237
4 W 0.500 0.500 0.500

Results
V ... 15.63 A^3/atom
ΔH_f (0 K) ... -0.01 eV per atom
ρ ... 10.1 g/cm³